(1)
Material: HfMgN
Method: DFT, PBE
State: optimized geometry

Results
raw formation energy	-0.903	eV per atom
M_tot	0.00	μB/f.u.
relative energy among the computed polymorphs	24	meV/atom
Fermi-level density of states	0.324	states/eV/atom

Lattice parameters (Å, degrees): 3.157 3.157 4.434 90.00 90.00 90.00
Space group P4/mmm (No. 123)
Inequivalent atoms, fractional coordinates:
Hf 0.000 0.000 0.000
Mg 0.500 0.500 0.500
N 0.500 0.500 0.000

---

(2)
Material: HfMgN3
Method: DFT, PBE
State: optimized geometry

Results
raw formation energy	0.231	eV per atom
M_tot	2.52	μB/f.u.
Fermi-level density of states	0.685	states/eV/atom

Lattice parameters (Å, degrees): 4.156 4.156 4.156 90.00 90.00 90.00
Space group Pm-3m (No. 221)
Inequivalent atoms, fractional coordinates:
Hf 0.000 0.000 0.000
Mg 0.500 0.500 0.500
N 0.000 0.000 0.500

---

(3)
Material: Hf2MgN3
Method: DFT, PBE
State: optimized geometry

Results
raw formation energy	-1.598	eV per atom
M_tot	0.00	μB/f.u.
Fermi-level density of states	0.157	states/eV/atom

Lattice parameters (Å, degrees): 6.355 4.498 9.516 90.00 90.00 90.00
Space group Pnma (No. 62)
Inequivalent atoms, fractional coordinates:
Hf 0.125 0.250 0.246
Hf 0.127 0.250 0.583
Mg 0.120 0.250 0.919
N 0.122 0.750 0.250
N 0.126 0.750 0.583
N 0.130 0.750 0.913

---

(4)
Material: HfMgN3
Method: DFT, PBE
State: optimized geometry

Results
raw formation energy	0.699	eV per atom
M_tot	2.10	μB/f.u.
Fermi-level density of states	0.643	states/eV/atom

Lattice parameters (Å, degrees): 3.786 3.786 3.786 90.00 90.00 90.00
Space group Pm-3m (No. 221)
Inequivalent atoms, fractional coordinates:
Hf 0.000 0.000 0.000
Mg 0.500 0.500 0.500
N 0.000 0.500 0.500

---

(5)
Material: HfMgN
Method: DFT, PBE
State: optimized geometry

Results
raw formation energy	-0.834	eV per atom
M_tot	0.00	μB/f.u.
relative energy among the computed polymorphs	93	meV/atom
Fermi-level density of states	0.455	states/eV/atom

Lattice parameters (Å, degrees): 3.4071 3.4071 5.3186 90.00 90.00 120.00
Space group P3m1 (No. 156)
Inequivalent atoms, fractional coordinates:
Hf 0.0000 0.0000 0.0000
Mg 0.6667 0.3333 0.4721
N 0.6667 0.3333 0.8719

---

(6)
Material: HfMgN
Method: DFT, PBE
State: optimized geometry

Results
raw formation energy	-0.889	eV per atom
M_tot	0.00	μB/f.u.
relative energy among the computed polymorphs	38	meV/atom
Fermi-level density of states	0.553	states/eV/atom

Lattice parameters (Å, degrees): 3.262 4.433 6.328 90.00 90.00 90.00
Space group Pmmn (No. 59, origin choice 2)
Inequivalent atoms, fractional coordinates:
Hf 0.250 0.250 0.113
Mg 0.250 0.250 0.623
N 0.250 0.750 0.125

---

(7)
Material: Hf3MgN4
Method: DFT, PBE
State: optimized geometry

Results
raw formation energy	-1.672	eV per atom
M_tot	0.00	μB/f.u.
Fermi-level density of states	0.249	states/eV/atom

Lattice parameters (Å, degrees): 4.500 4.500 4.500 90.00 90.00 90.00
Space group Pm-3m (No. 221)
Inequivalent atoms, fractional coordinates:
Hf 0.000 0.000 0.500
Mg 0.500 0.500 0.500
N 0.000 0.000 0.000
N 0.000 0.500 0.500

---

(8)
Material: Hf6MgN
Method: DFT, PBE
State: optimized geometry

Results
raw formation energy	-0.128	eV per atom
M_tot	0.00	μB/f.u.
Fermi-level density of states	0.921	states/eV/atom

Lattice parameters (Å, degrees): 5.996 6.010 6.255 90.17 118.33 119.85
Space group P-1 (No. 2)
Inequivalent atoms, fractional coordinates:
Hf 0.084 0.084 0.271
Hf 0.271 0.687 0.270
Hf 0.313 0.500 0.731
Mg 0.500 0.000 0.000
N 0.500 0.500 0.500